1.
The following is a DFT calculation (PBE) of a relaxed structure of KCu2Br.

Lattice parameters (Å, degrees): 4.6305 4.6834 4.9804 90.00 90.00 90.00
Fractional coordinates of all 4 atoms:
K (0.0000, 0.0000, 0.0000)
Cu (0.5000, 0.5000, 0.2370)
Cu (0.5000, 0.5000, 0.7630)
Br (0.5000, 0.0000, 0.5000)

For the final energy, the calculation gives -11.19 eV per cell. For the theoretical density, the calculation gives 3.78 g/cm3. The calculation puts the total magnetization at 0.00 μB per atom. The calculation puts the formation energy (no corrections) at -0.23 eV/f.u. The energy above the most stable polymorph in this dataset is 94 meV/atom.

2.
The following is a DFT calculation (PBE) of a relaxed structure of CsLaRuN2.

Lattice parameters (Å, degrees): 4.3968 4.3968 4.9387 90.00 90.00 90.00
Fractional coordinates of all 5 atoms:
Cs (0.0000, 0.0000, 0.0000)
La (0.5000, 0.5000, 0.0000)
Ru (0.5000, 0.5000, 0.5000)
N (0.0000, 0.5000, 0.5000)
N (0.5000, 0.0000, 0.5000)

For the final energy, the calculation gives -26.83 eV per cell. For the theoretical density, the calculation gives 6.97 g/cm3. The calculation puts the total magnetization at 0.06 μB per atom. The calculation puts the formation energy (no corrections) at 4.88 eV/f.u.

3.
The following is a DFT calculation (PBE) of a relaxed structure of Sc3Tl3InTe8.

Lattice parameters (Å, degrees): 8.4688 8.4688 9.4854 116.65 116.65 59.82
Fractional coordinates of all 15 atoms:
Sc (0.0000, 0.0000, 0.0000)
Sc (0.0000, 0.5000, 0.0000)
Sc (0.5000, 0.0000, 0.0000)
Tl (0.0000, 0.5000, 0.5000)
Tl (0.5000, 0.0000, 0.5000)
Tl (0.5000, 0.5000, 0.5000)
In (0.5000, 0.5000, 0.0000)
Te (0.2256, 0.7406, 0.2070)
Te (0.2350, 0.2350, 0.2051)
Te (0.2594, 0.7744, 0.7930)
Te (0.2596, 0.2596, 0.7931)
Te (0.7404, 0.7404, 0.2069)
Te (0.7406, 0.2256, 0.2070)
Te (0.7650, 0.7650, 0.7949)
Te (0.7744, 0.2594, 0.7930)

For the final energy, the calculation gives -65.24 eV per cell. For the theoretical density, the calculation gives 6.22 g/cm3. The calculation puts the total magnetization at 0.00 μB per atom. The calculation puts the formation energy (no corrections) at -11.28 eV/f.u.